Material: ErMgMoO4
Method: DFT, GGA+U
State: relaxed

Cell: 6.4075 6.5284 9.0011 Å, 90.00 90.00 90.00°
With the nearest neighbours (Å) after each atom.
Space group Imma (No. 74)
Inequivalent atoms, fractional coordinates:
Er (0.0000, 0.0000, 0.0000) x4  6 O 2.24-2.27
Mg (0.0000, 0.2500, 0.3808) x4  4 O 2.02-2.10
Mo (0.2500, 0.2500, 0.7500) x4  6 O 2.19-2.21
O (0.0000, 0.0177, 0.7487) x8  1 Mg 2.10, 2 Mo 2.21, 1 Er 2.27
O (0.2391, 0.2500, 0.9928) x8  1 Mg 2.02, 1 Mo 2.19, 2 Er 2.24

VASP energy (eV/atom): -7.321
Magnetic moment (μB per atom): 0.429